# 1
PmCoPO: relaxed, GGA+U.

Cell: 4.3871 4.0989 6.8941 Å, 90.00 90.00 90.00°
Last column: nearest neighbours and their distance in Å.
Element x y z (fractional)
Pm1 0.0000 0.2449 0.0000  3 O 2.32-2.34
Pm2 0.0000 0.7551 0.5000  3 O 2.32-2.34
Co1 0.5000 0.2558 0.3359  2 O 2.19, 3 P 2.31-2.35
Co2 0.5000 0.7442 0.8359  2 O 2.19, 3 P 2.31-2.35
P1 0.5000 0.2445 0.6703  3 Co 2.31-2.35
P2 0.5000 0.7555 0.1703  3 Co 2.31-2.35
O1 0.0000 0.2560 0.3365  2 Co 2.19, 3 Pm 2.32-2.34
O2 0.0000 0.7440 0.8365  2 Co 2.19, 3 Pm 2.32-2.34

Calculated values
The value obtained for the total magnetization is 1.7 μB/f.u. For the energy above the most stable polymorph in this dataset, the calculation gives 341.5 meV per atom. For the volume, the calculation gives 15.5 Å³/atom. The raw total energy comes out at -51.529 eV/cell.


# 2
PmCoPO: relaxed, GGA+U.

Cell: 4.3465 6.1118 5.8321 Å, 90.00 90.00 90.00°
Last column: nearest neighbours and their distance in Å.
Element x y z (fractional)
Pm1 0.0000 0.2374 0.0000  2 O 2.29
Pm2 0.0000 0.7626 0.5000  2 O 2.29
Co1 0.5000 0.3586 0.6074  2 O 1.98-2.05
Co2 0.5000 0.6414 0.1074  2 O 1.98-2.05
P1 0.0000 0.2330 0.5007  2 Co 2.39
P2 0.0000 0.7670 0.0007  2 Co 2.39
O1 0.5000 0.3493 0.9589  2 Co 1.98-2.05
O2 0.5000 0.6507 0.4589  2 Co 1.98-2.05

Calculated values
The value obtained for the total magnetization is 3.0 μB/f.u. For the energy above the most stable polymorph in this dataset, the calculation gives 363.4 meV per atom. For the volume, the calculation gives 19.4 Å³/atom. The raw total energy comes out at -51.354 eV/cell.


# 3
PmCoPO: relaxed, GGA+U.

Cell: 4.4063 4.4063 8.6337 Å, 90.00 90.00 90.00°
Last column: nearest neighbours and their distance in Å.
Element x y z (fractional)
Pm1 0.2500 0.7500 0.0000  4 P 2.75
Pm2 0.7500 0.2500 0.0000  4 P 2.75
Co1 0.2500 0.2500 0.4725  4 O 2.22, 1 P 2.44
Co2 0.7500 0.7500 0.5275  4 O 2.22, 1 P 2.44
P1 0.2500 0.2500 0.1904  1 Co 2.44
P2 0.7500 0.7500 0.8096  1 Co 2.44
O1 0.2500 0.7500 0.5000  4 Co 2.22
O2 0.7500 0.2500 0.5000  4 Co 2.22

Calculated values
The value obtained for the total magnetization is 3.2 μB/f.u. For the energy above the most stable polymorph in this dataset, the calculation gives 1573.2 meV per atom. For the volume, the calculation gives 21.0 Å³/atom. The raw total energy comes out at -41.676 eV/cell.


# 4
PmCoPO: relaxed, GGA+U.

Cell: 3.9200 3.9200 7.9773 Å, 90.00 90.00 90.00°
Last column: nearest neighbours and their distance in Å.
Element x y z (fractional)
Pm1 0.2500 0.2500 0.1507  4 O 2.30
Pm2 0.7500 0.7500 0.8493  4 O 2.30
Co1 0.2500 0.7500 0.5000  4 P 2.20
Co2 0.7500 0.2500 0.5000  4 P 2.20
P1 0.2500 0.2500 0.6264  4 Co 2.20
P2 0.7500 0.7500 0.3736  4 Co 2.20
O1 0.2500 0.7500 0.0000  4 Pm 2.30
O2 0.7500 0.2500 0.0000  4 Pm 2.30

Calculated values
The value obtained for the total magnetization is 0.7 μB/f.u. For the energy above the most stable polymorph in this dataset, the calculation gives 0.0 meV per atom. For the volume, the calculation gives 15.3 Å³/atom. The raw total energy comes out at -54.261 eV/cell.


# 5
CoPPtO: relaxed, GGA+U.

Cell: 2.8554 7.1903 5.3767 Å, 90.00 90.00 90.00°
Last column: nearest neighbours and their distance in Å.
Element x y z (fractional)
Co1 0.0000 0.1561 0.0000  2 O 1.82-1.90
Co2 0.0000 0.8439 0.5000  2 O 1.82-1.90
P1 0.5000 0.3670 0.8121  2 Pt 2.24-2.34, 2 Co 2.32
P2 0.5000 0.6330 0.3121  2 Pt 2.24-2.34, 2 Co 2.32
Pt1 0.5000 0.3251 0.3796  2 P 2.24-2.34, 2 O 2.38
Pt2 0.5000 0.6749 0.8796  2 P 2.24-2.34, 2 O 2.38
O1 0.0000 0.0635 0.3305  2 Co 1.82-1.90
O2 0.0000 0.9365 0.8305  2 Co 1.82-1.90

Calculated values
The value obtained for the total magnetization is 2.3 μB/f.u. For the energy above the most stable polymorph in this dataset, the calculation gives 282.7 meV per atom. For the volume, the calculation gives 13.8 Å³/atom. The raw total energy comes out at -44.740 eV/cell.


# 6
CoPPtO: relaxed, GGA+U.

Cell: 3.8924 3.8924 8.3584 Å, 90.00 90.00 90.00°
Last column: nearest neighbours and their distance in Å.
Element x y z (fractional)
Co1 0.2500 0.2500 0.0587  4 O 2.01, 1 P 2.25
Co2 0.7500 0.7500 0.9413  4 O 2.01, 1 P 2.25
P1 0.2500 0.2500 0.3274  1 Co 2.25, 4 Pt 2.42
P2 0.7500 0.7500 0.6726  1 Co 2.25, 4 Pt 2.42
Pt1 0.2500 0.7500 0.5000  4 P 2.42
Pt2 0.7500 0.2500 0.5000  4 P 2.42
O1 0.2500 0.7500 0.0000  4 Co 2.01
O2 0.7500 0.2500 0.0000  4 Co 2.01

Calculated values
The value obtained for the total magnetization is 2.6 μB/f.u. For the energy above the most stable polymorph in this dataset, the calculation gives 0.0 meV per atom. For the volume, the calculation gives 15.8 Å³/atom. The raw total energy comes out at -47.002 eV/cell.


# 7
CoPPtO: relaxed, GGA+U.

Cell: 3.0608 6.5496 5.4904 Å, 90.00 90.00 90.00°
Last column: nearest neighbours and their distance in Å.
Element x y z (fractional)
Co1 0.0000 0.2492 0.0000  2 O 2.00, 1 P 2.23
Co2 0.0000 0.7508 0.5000  2 O 2.00, 1 P 2.23
P1 0.0000 0.4354 0.3492  2 Co 2.23-2.27, 2 Pt 2.26
P2 0.0000 0.5646 0.8492  2 Co 2.23-2.27, 2 Pt 2.26
Pt1 0.5000 0.1846 0.4002  2 O 2.13-2.29, 2 P 2.26
Pt2 0.5000 0.8154 0.9002  2 O 2.13-2.29, 2 P 2.26
O1 0.5000 0.1323 0.8119  2 Co 2.00, 1 Pt 2.13
O2 0.5000 0.8677 0.3119  2 Co 2.00, 1 Pt 2.13

Calculated values
The value obtained for the total magnetization is 1.9 μB/f.u. For the energy above the most stable polymorph in this dataset, the calculation gives 247.2 meV per atom. For the volume, the calculation gives 13.8 Å³/atom. The raw total energy comes out at -45.025 eV/cell.


# 8
CoPPtO: relaxed, GGA+U.

Cell: 3.6764 3.6764 6.8040 Å, 90.00 90.00 90.00°
Last column: nearest neighbours and their distance in Å.
Element x y z (fractional)
Co1 0.2500 0.7500 0.0000  4 P 2.22
Co2 0.7500 0.2500 0.0000  4 P 2.22
P1 0.2500 0.2500 0.1832  4 Co 2.22
P2 0.7500 0.7500 0.8168  4 Co 2.22
Pt1 0.2500 0.2500 0.7004  4 O 2.29
Pt2 0.7500 0.7500 0.2996  4 O 2.29
O1 0.2500 0.7500 0.5000  4 Pt 2.29
O2 0.7500 0.2500 0.5000  4 Pt 2.29

Calculated values
The value obtained for the total magnetization is 1.9 μB/f.u. For the energy above the most stable polymorph in this dataset, the calculation gives 699.5 meV per atom. For the volume, the calculation gives 11.5 Å³/atom. The raw total energy comes out at -41.407 eV/cell.


Among the records above, which one has the highest raw total energy? number 8